i:
KWCl6 | the Alexandria database | PBE-GGA | optimized geometry; symmetry = C2/m
1.0
-2.677 2.339 -5.490
4.942 -3.883 -1.810
-4.264 -4.313 1.535
Cl W K
6 1 1
Cartesian
-0.661 -5.249 -2.769
1.071 -2.574 -1.833
-1.337 -0.608 -2.996
0.047 -2.888 -4.979
-3.069 -3.283 -3.932
-2.045 -2.969 -0.786
-0.999 -2.928 -2.882
0.000 0.000 0.000



ii:
KWCl6 | the Alexandria database | PBE-GGA | optimized geometry; symmetry = R-3m
1.0
-0.805 4.712 -4.907
-4.159 -1.249 -5.299
-6.448 3.643 -0.226
Cl K W
6 1 1
Cartesian
-3.986 0.451 -3.694
-2.254 3.531 -3.492
-9.574 6.009 -9.476
-7.426 6.654 -6.738
-9.158 3.575 -6.940
-1.838 1.097 -0.957
-5.706 3.553 -5.216
0.000 0.000 0.000



Bottom line: i, by a margin of 1.7 kJ/mol of atoms.